First-principles (GGA+U) data for a geometry-optimized Li2NiP2O7 structure, as listed in the Alexandria database. Values from VASP.

Computed properties:
Its calculated total energy is -6.111 eV/atom. The total moment is 1.98 μB per formula unit. The density comes out at 2654 kg/m³. For the density of states at the Fermi level, the calculation gives 3.280 states/eV/f.u. For the relative energy among the computed polymorphs, the calculation gives 33.8 kJ per mole of atoms. The space-group type is P-1.

Structure (Quantum ESPRESSO input):
```
&SYSTEM
  ibrav = 0, nat = 24, ntyp = 4
/
ATOMIC_SPECIES
O 16.00 O.upf
Li 6.94 Li.upf
P 30.97 P.upf
Ni 58.69 Ni.upf
ATOMIC_POSITIONS angstrom
O 1.869 1.491 3.746
O 3.565 4.644 3.564
O 1.514 4.337 4.975
O 4.995 1.405 2.590
O -0.709 -2.833 5.118
O 0.630 0.889 6.650
O 1.727 -1.227 2.905
O 3.898 3.522 6.335
O 7.962 2.122 4.665
O 6.333 5.128 4.123
O 4.111 -2.042 4.266
O -2.337 0.172 4.576
O 2.060 -2.349 5.676
O 3.756 0.804 5.495
Li 0.823 -2.700 3.920
Li 0.478 -2.533 6.718
Li 4.802 4.995 5.321
Li 5.147 4.828 2.523
P 4.687 0.659 6.745
P 0.938 1.636 2.496
P 4.770 2.815 7.409
P 0.854 -0.521 1.831
Ni 2.542 2.574 5.274
Ni 3.082 -0.279 3.967
CELL_PARAMETERS angstrom
-3.822 0.655 4.129
2.528 -4.501 2.914
6.919 6.141 2.197
```